The following is a GGA-PBE calculation of crystalline AcGeF6 at its relaxed geometry, from Alexandria.

formation energy from raw total energies	-3066	meV/atom

abc: 4.8587 4.8587 4.8587
angles: 97.49 97.49 97.49
Element x y z (fractional)
Ac: 0.0000 0.0000 0.0000
Ge: 0.5000 0.5000 0.5000
F: 0.1991 0.1991 0.5626
F: 0.1991 0.5626 0.1991
F: 0.4374 0.8009 0.8009
F: 0.5626 0.1991 0.1991
F: 0.8009 0.4374 0.8009
F: 0.8009 0.8009 0.4374